No. 1
12
Lattice="7.965 0.000 0.000 0.000 7.965 0.000 0.000 0.000 7.965" Properties=species:S:1:pos:R:3 comment="RbNdNb (GGA-PBE, optimized geometry)" final_energy_ev_per_cell=-43.60 volume_a3_per_atom=42.1 pbc="T T T"
Rb 0.000 0.000 0.000
Rb 0.000 3.982 3.982
Rb 3.982 0.000 3.982
Rb 3.982 3.982 0.000
Nd 0.000 0.000 3.982
Nd 0.000 3.982 0.000
Nd 3.982 0.000 0.000
Nd 3.982 3.982 3.982
Nb 1.991 1.991 5.974
Nb 1.991 5.974 1.991
Nb 5.974 1.991 1.991
Nb 5.974 5.974 5.974



No. 2
12
Lattice="6.510 0.000 0.000 0.000 6.510 0.000 0.000 0.000 6.510" Properties=species:S:1:pos:R:3 comment="NdNbRe (GGA-PBE, optimized geometry)" e_above_lowest_polymorph_mev_per_atom=78.9 volume_a3_per_atom=23.0 pbc="T T T"
Nd 0.000 0.000 0.000
Nd 0.000 3.255 3.255
Nd 3.255 0.000 3.255
Nd 3.255 3.255 0.000
Nb 1.628 1.628 1.628
Nb 1.628 4.883 4.883
Nb 4.883 1.628 4.883
Nb 4.883 4.883 1.628
Re 0.000 0.000 3.255
Re 0.000 3.255 0.000
Re 3.255 0.000 0.000
Re 3.255 3.255 3.255



No. 3
12
Lattice="6.522 0.000 0.000 0.000 6.522 0.000 0.000 0.000 6.522" Properties=species:S:1:pos:R:3 comment="NdNbRe (GGA-PBE, optimized geometry)" e_above_lowest_polymorph_mev_per_atom=1010.5 volume_a3_per_atom=23.1 pbc="T T T"
Nd 0.000 0.000 0.000
Nd 0.000 3.261 3.261
Nd 3.261 0.000 3.261
Nd 3.261 3.261 0.000
Nb 1.630 1.630 4.891
Nb 1.630 4.891 1.630
Nb 4.891 1.630 1.630
Nb 4.891 4.891 4.891
Re 1.630 1.630 1.630
Re 1.630 4.891 4.891
Re 4.891 1.630 4.891
Re 4.891 4.891 1.630